i:
The following is a PBE-GGA calculation of crystalline AlFeGeSe4 at its relaxed geometry, from the Open Quantum Materials Database.

Cell: 7.5270 7.5270 10.4178 Å, 90.00 90.00 90.00°
Space group P4_122 (No. 91)
Asymmetric unit:
Al1 0.2387 0.2387 0.3750
Fe1 0.0000 0.2456 0.0000
Ge1 0.2493 0.5000 0.7500
Se1 0.0216 0.2285 0.7695
Se2 0.2272 0.4775 0.0085

For the calculated density, the calculation gives 5.30 g cm⁻³.

---

ii:
The following is a PBE-GGA calculation of crystalline AlFeGeSe4 at its relaxed geometry, from the Open Quantum Materials Database.

Cell: 7.5595 7.5595 10.5377 Å, 90.00 90.00 90.00°
Space group P4_122 (No. 91)
Asymmetric unit:
Al1 0.0000 0.2547 0.0000
Fe1 0.2556 0.5000 0.7500
Ge1 0.2558 0.2558 0.3750
Se1 0.0383 0.2629 0.7563
Se2 0.2640 0.4683 0.9788

For the calculated density, the calculation gives 5.20 g cm⁻³.

---

iii:
The following is a PBE-GGA calculation of crystalline AlFeGeSe4 at its relaxed geometry, from the Open Quantum Materials Database.

Cell: 7.6201 7.6201 10.7117 Å, 90.00 90.00 90.00°
Space group P4_122 (No. 91)
Asymmetric unit:
Al1 0.0000 0.2493 0.0000
Fe1 0.2473 0.2473 0.3750
Ge1 0.2508 0.5000 0.7500
Se1 0.0114 0.2418 0.7585
Se2 0.2388 0.4890 0.0018

For the calculated density, the calculation gives 5.03 g cm⁻³.

---

Ranking the structures above from most stable to least stable yields ii, iii, i.